[1]
This record from the Alexandria database describes a crystal of LaTl2Co relaxed with PBEsol. The functional is SCAN.

The total magnetic moment comes out at 0.0 μB per formula unit. Its formation energy is 18.2 kJ per mole of atoms. The density of states at the Fermi level comes out at 3.10 states/eV/cell.

Cell: 3.671 5.312 5.773 Å, 117.39 108.56 90.00°
Sites, in units of the cell vectors:
Tl (0.998, 0.999, 0.998)
Tl (0.802, 0.302, 0.604)
Co (0.508, 0.507, 0.015)
La (0.192, 0.692, 0.383)

=====

[2]
This record from the Alexandria database describes a crystal of Cr4MoRh relaxed with PBEsol. The functional is SCAN.

The total magnetic moment comes out at 0.0 μB per formula unit. Its formation energy is 5.6 kJ per mole of atoms. The density of states at the Fermi level comes out at 5.54 states/eV/cell.

Cell: 4.705 4.705 4.705 Å, 60.00 60.00 60.00°
Sites, in units of the cell vectors:
Cr (0.376, 0.376, 0.376)
Cr (0.376, 0.376, 0.871)
Cr (0.871, 0.376, 0.376)
Cr (0.376, 0.871, 0.376)
Mo (0.750, 0.750, 0.750)
Rh (0.000, 0.000, 0.000)

=====

[3]
This record from the Alexandria database describes a crystal of ZrCo4Hg relaxed with PBEsol. The functional is SCAN.

The total magnetic moment comes out at 5.6 μB per formula unit. Its formation energy is -6.8 kJ per mole of atoms. The density of states at the Fermi level comes out at 6.85 states/eV/cell.

Cell: 4.807 4.807 4.807 Å, 60.00 60.00 60.00°
Last column: magnetic moment on the atom in μB.
Sites, in units of the cell vectors:
Co (0.375, 0.375, 0.375)  1.59
Co (0.375, 0.375, 0.874)  1.59
Co (0.874, 0.375, 0.375)  1.59
Co (0.375, 0.874, 0.375)  1.59
Hg (0.750, 0.750, 0.750)  -0.04
Zr (0.000, 0.000, 0.000)  -0.44

=====

[4]
This record from the Alexandria database describes a crystal of CsAl2Re relaxed with PBEsol. The functional is SCAN.

The total magnetic moment comes out at 0.6 μB per formula unit. Its formation energy is 84.7 kJ per mole of atoms. The density of states at the Fermi level comes out at 6.39 states/eV/cell.

Cell: 6.468 6.468 8.422 Å, 112.58 112.58 90.00°
Last column: magnetic moment on the atom in μB.
Sites, in units of the cell vectors:
Cs (0.500, 0.500, 0.000)  0.00
Cs (0.750, 0.250, 0.500)  0.00
Re (0.000, 0.000, 0.000)  0.46
Re (0.250, 0.750, 0.500)  0.46
Al (0.625, 0.875, 0.750)  -0.03
Al (0.125, 0.875, 0.750)  -0.03
Al (0.125, 0.875, 0.250)  -0.03
Al (0.125, 0.375, 0.250)  -0.03

=====

[5]
This record from the Alexandria database describes a crystal of V32N3 relaxed with PBEsol. The functional is SCAN.

The total magnetic moment comes out at 0.0 μB per formula unit. Its uncorrected formation energy is -292 meV/atom. The density of states at the Fermi level comes out at 40.27 states/eV/cell.

Cell: 2.943 8.559 17.130 Å, 90.88 90.00 90.00°
Sites, in units of the cell vectors:
V (0.500, 0.110, 0.943)
V (0.500, 0.117, 0.443)
V (0.500, 0.883, 0.557)
V (0.500, 0.890, 0.057)
V (0.000, 0.378, 0.690)
V (0.000, 0.393, 0.196)
V (0.000, 0.607, 0.804)
V (0.000, 0.622, 0.310)
V (0.500, 0.613, 0.936)
V (0.500, 0.627, 0.439)
V (0.500, 0.373, 0.561)
V (0.500, 0.387, 0.064)
V (0.000, 0.883, 0.683)
V (0.000, 0.891, 0.188)
V (0.000, 0.109, 0.812)
V (0.000, 0.117, 0.317)
V (0.500, 0.870, 0.806)
V (0.500, 0.881, 0.314)
V (0.500, 0.119, 0.686)
V (0.500, 0.130, 0.194)
V (0.000, 0.372, 0.942)
V (0.000, 0.371, 0.445)
V (0.000, 0.629, 0.555)
V (0.000, 0.628, 0.058)
V (0.500, 0.648, 0.670)
V (0.500, 0.664, 0.174)
V (0.500, 0.336, 0.826)
V (0.500, 0.352, 0.330)
V (0.000, 0.840, 0.921)
V (0.000, 0.872, 0.436)
V (0.000, 0.128, 0.564)
V (0.000, 0.160, 0.079)
N (0.500, 0.492, 0.748)
N (0.500, 0.508, 0.252)
N (0.000, 0.000, 0.000)

=====

[6]
This record from the Alexandria database describes a crystal of SiRh3Au relaxed with PBEsol. The functional is SCAN.

The total magnetic moment comes out at 1.9 μB per formula unit. Its uncorrected formation energy is 283 meV/atom. The density of states at the Fermi level comes out at 4.23 states/eV/cell.

Cell: 4.336 4.336 4.336 Å, 90.00 90.00 90.00°
Last column: magnetic moment on the atom in μB.
Sites, in units of the cell vectors:
Rh (0.000, 0.500, 0.000)  0.61
Rh (0.000, 0.000, 0.500)  0.61
Rh (0.500, 0.000, 0.000)  0.61
Si (0.000, 0.000, 0.000)  -0.01
Au (0.500, 0.500, 0.500)  0.16